Here is an optimized crystal structure of SrCaTeN2 from the Alexandria database. Energies are from GGA-PBEsol.

- ΔE_f (raw) (eV/atom) = 0.386
- N(E_F) (states/eV per cell) = 2.7

Unit cell a=4.6577 b=4.6577 c=5.9595 alpha=90.00 beta=90.00 gamma=90.00
Closest atoms and distances in Å follow each position.
Space group P4/mmm (No. 123)
Unique sites:
Sr  0.0000  0.0000  0.0000 (multiplicity 1)  4 Te 3.29
Ca  0.5000  0.5000  0.5000 (multiplicity 1)  4 N 2.33
Te  0.5000  0.5000  0.0000 (multiplicity 1)  2 Ca 2.98, 4 Sr 3.29
N  0.0000  0.5000  0.5000 (multiplicity 2)  2 Ca 2.33

---

Here is an optimized crystal structure of CaTaN3 from the Alexandria database. Energies are from GGA-PBEsol.

- ΔE_f (raw) (eV/atom) = -0.666
- N(E_F) (states/eV per cell) = 4.0

Unit cell a=4.0540 b=4.0540 c=4.0540 alpha=90.00 beta=90.00 gamma=90.00
Closest atoms and distances in Å follow each position.
Space group Pm-3m (No. 221)
Unique sites:
Ca  0.0000  0.0000  0.0000 (multiplicity 1)  12 N 2.87
Ta  0.5000  0.5000  0.5000 (multiplicity 1)  6 N 2.03
N  0.0000  0.5000  0.5000 (multiplicity 3)  2 Ta 2.03

---

Here is an optimized crystal structure of CaTaTe2N from the Alexandria database. Energies are from GGA-PBEsol.

- ΔE_f (raw) (eV/atom) = -0.574
- N(E_F) (states/eV per cell) = 1.8

Unit cell a=5.5562 b=5.5562 c=3.9226 alpha=90.00 beta=90.00 gamma=90.00
Closest atoms and distances in Å follow each position.
Space group P4/mmm (No. 123)
Unique sites:
Ca  0.0000  0.0000  0.0000 (multiplicity 1)  8 Te 3.40
Ta  0.5000  0.5000  0.5000 (multiplicity 1)  2 N 1.96
Te  0.0000  0.5000  0.5000 (multiplicity 2)  2 Ta 2.78
N  0.5000  0.5000  0.0000 (multiplicity 1)  2 Ta 1.96

---

Here is an optimized crystal structure of CaTc3N from the Alexandria database. Energies are from GGA-PBEsol.

- ΔE_f (raw) (eV/atom) = 3.864
- N(E_F) (states/eV per cell) = 6.6

Unit cell a=4.4759 b=4.4759 c=4.4759 alpha=90.00 beta=90.00 gamma=90.00
Closest atoms and distances in Å follow each position.
Space group Pm-3m (No. 221)
Unique sites:
Ca  0.0000  0.0000  0.0000 (multiplicity 1)  6 Tc 2.24
Tc  0.0000  0.0000  0.5000 (multiplicity 3)  2 Ca 2.24
N  0.5000  0.5000  0.5000 (multiplicity 1)  12 Tc 3.16

---

Here is an optimized crystal structure of CaTcN3 from the Alexandria database. Energies are from GGA-PBEsol.

- ΔE_f (raw) (eV/atom) = -0.537

Unit cell a=12.1219 b=3.6033 c=6.4027 alpha=90.00 beta=105.92 gamma=90.00
Closest atoms and distances in Å follow each position.
Space group C2/m (No. 12)
Unique sites:
Ca  0.1207  0.0000  0.3283 (multiplicity 4)  6 N 2.37-2.59
Tc  0.1543  0.5000  0.8487 (multiplicity 4)  1 N 1.74
N  0.0019  0.5000  0.9008 (multiplicity 4)  1 N 1.28
N  0.1571  0.5000  0.5789 (multiplicity 4)  1 Tc 1.74
N  0.1798  0.0000  0.9905 (multiplicity 4)  3 Tc 1.99-2.00

---

Here is an optimized crystal structure of CaTcN3 from the Alexandria database. Energies are from GGA-PBEsol.

- ΔE_f (raw) (eV/atom) = -0.508
- N(E_F) (states/eV per cell) = 0.0

Unit cell a=10.6623 b=9.6138 c=6.0738 alpha=90.00 beta=109.06 gamma=90.00
Closest atoms and distances in Å follow each position.
Space group C2/c (No. 15)
Unique sites:
Ca  0.0000  0.0836  0.2500 (multiplicity 4)  6 N 2.35-2.44
Ca  0.0000  0.3159  0.7500 (multiplicity 4)  6 N 2.48-2.58
Tc  0.2099  0.4086  0.2435 (multiplicity 8)  4 N 1.71-1.89
N  0.1183  0.1132  0.6591 (multiplicity 8)  1 Tc 1.74
N  0.1354  0.2515  0.1585 (multiplicity 8)  1 Tc 1.71
N  0.1478  0.4837  0.4754 (multiplicity 8)  2 Tc 1.86-1.89

---

Here is an optimized crystal structure of Ca2TlTcN from the Alexandria database. Energies are from GGA-PBEsol.

- ΔE_f (raw) (eV/atom) = 0.185
- N(E_F) (states/eV per cell) = 4.8

Unit cell a=5.6715 b=5.6715 c=3.7666 alpha=90.00 beta=90.00 gamma=90.00
Closest atoms and distances in Å follow each position.
Space group P4/mmm (No. 123)
Unique sites:
Ca  0.0000  0.5000  0.0000 (multiplicity 2)  2 Tc 2.84
Tl  0.0000  0.0000  0.5000 (multiplicity 1)  8 Ca 3.40, 2 Tl 3.77
Tc  0.5000  0.5000  0.0000 (multiplicity 1)  2 N 1.88
N  0.5000  0.5000  0.5000 (multiplicity 1)  2 Tc 1.88

---

Here is an optimized crystal structure of CaTeN3 from the Alexandria database. Energies are from GGA-PBEsol.

- ΔE_f (raw) (eV/atom) = 1.940
- N(E_F) (states/eV per cell) = 3.8

Unit cell a=4.3508 b=4.3508 c=4.3508 alpha=90.00 beta=90.00 gamma=90.00
Closest atoms and distances in Å follow each position.
Space group Pm-3m (No. 221)
Unique sites:
Ca  0.0000  0.0000  0.0000 (multiplicity 1)  6 N 2.18
Te  0.5000  0.5000  0.5000 (multiplicity 1)  12 N 3.08
N  0.0000  0.0000  0.5000 (multiplicity 3)  2 Ca 2.18

---

Here is an optimized crystal structure of Ca6Te3N2 from the Alexandria database. Energies are from GGA-PBEsol.

- ΔE_f (raw) (eV/atom) = -1.391
- N(E_F) (states/eV per cell) = 0.0

Unit cell a=11.9159 b=11.9159 c=12.9723 alpha=90.00 beta=90.00 gamma=120.00
Closest atoms and distances in Å follow each position.
Space group R-3c (No. 167, hexagonal axes)
Unique sites:
Ca  0.0232  0.1602  0.3810 (multiplicity 36)  2 N 2.36-2.47
Te  0.0000  0.3761  0.2500 (multiplicity 18)  8 Ca 3.21-3.30
N  0.0000  0.0000  0.0000 (multiplicity 6)  6 Ca 2.36
N  0.0000  0.0000  0.2500 (multiplicity 6)  6 Ca 2.47

---

Here is an optimized crystal structure of CaTe2N from the Alexandria database. Energies are from GGA-PBEsol.

- ΔE_f (raw) (eV/atom) = 0.208
- N(E_F) (states/eV per cell) = 10.2

Unit cell a=4.9310 b=4.9310 c=19.8132 alpha=90.00 beta=90.00 gamma=120.00
Closest atoms and distances in Å follow each position.
Space group R-3m (No. 166, hexagonal axes)
Unique sites:
Ca  0.0000  0.0000  0.0000 (multiplicity 3)  6 Te 3.16
Te  0.0000  0.0000  0.4022 (multiplicity 6)  1 N 1.94
N  0.0000  0.0000  0.5000 (multiplicity 3)  2 Te 1.94

---

Here is an optimized crystal structure of CaTi3N from the Alexandria database. Energies are from GGA-PBEsol.

- ΔE_f (raw) (eV/atom) = 2.626
- N(E_F) (states/eV per cell) = 6.9

Unit cell a=4.4025 b=4.4025 c=4.4025 alpha=90.00 beta=90.00 gamma=90.00
Closest atoms and distances in Å follow each position.
Space group Pm-3m (No. 221)
Unique sites:
Ca  0.0000  0.0000  0.0000 (multiplicity 1)  6 Ti 2.20
Ti  0.0000  0.0000  0.5000 (multiplicity 3)  2 Ca 2.20
N  0.5000  0.5000  0.5000 (multiplicity 1)  12 Ti 3.11

---

Here is an optimized crystal structure of CaTiN2 from the Alexandria database. Energies are from GGA-PBEsol.

- ΔE_f (raw) (eV/atom) = -1.445
- N(E_F) (states/eV per cell) = 0.0

Unit cell a=5.3662 b=5.3662 c=7.8187 alpha=90.00 beta=90.00 gamma=90.00
Closest atoms and distances in Å follow each position.
Space group I-42d (No. 122)
Unique sites:
Ca  0.0000  0.0000  0.0000 (multiplicity 4)  4 N 2.39
Ti  0.0000  0.0000  0.5000 (multiplicity 4)  4 N 1.92
N  0.1797  0.7500  0.6250 (multiplicity 8)  2 Ti 1.92

---

Here is an optimized crystal structure of CaTiN2 from the Alexandria database. Energies are from GGA-PBEsol.

- ΔE_f (raw) (eV/atom) = -1.494
- N(E_F) (states/eV per cell) = 0.0

Unit cell a=4.8173 b=9.7759 c=17.2525 alpha=90.00 beta=90.00 gamma=90.00
Closest atoms and distances in Å follow each position.
Space group Pbca (No. 61)
Unique sites:
Ca  0.2436  0.0008  0.0627 (multiplicity 8)  6 N 2.41-2.53
Ca  0.2503  0.2471  0.1874 (multiplicity 8)  6 N 2.40-2.51
Ti  0.2085  0.5206  0.8124 (multiplicity 8)  4 N 1.90-2.01
Ti  0.2149  0.2296  0.4379 (multiplicity 8)  4 N 1.90-2.01
N  0.1776  0.7457  0.0491 (multiplicity 8)  2 Ti 1.91-2.00
N  0.1824  0.9997  0.7008 (multiplicity 8)  2 Ti 1.91-2.01
N  0.2389  0.7124  0.8266 (multiplicity 8)  2 Ti 1.90-2.01
N  0.2489  0.5378  0.4237 (multiplicity 8)  2 Ti 1.90-2.01

---

Here is an optimized crystal structure of Ca7TiN6 from the Alexandria database. Energies are from GGA-PBEsol.

- ΔE_f (raw) (eV/atom) = -1.119

Unit cell a=6.2631 b=11.3926 c=12.6390 alpha=90.00 beta=90.00 gamma=90.00
Closest atoms and distances in Å follow each position.
Space group Ibam (No. 72)
Unique sites:
Ca  0.0000  0.0000  0.2500 (multiplicity 4)  4 N 2.47
Ca  0.1268  0.2783  0.1257 (multiplicity 16)  4 N 2.37-2.58
Ca  0.2221  0.0453  0.0000 (multiplicity 8)  4 N 2.40-2.44
Ti  0.0000  0.5000  0.2500 (multiplicity 4)  4 N 1.93
N  0.1104  0.1571  0.5000 (multiplicity 8)  6 Ca 2.40-2.58
N  0.1896  0.3944  0.3236 (multiplicity 16)  1 Ti 1.93

---

Here is an optimized crystal structure of CaTiN3 from the Alexandria database. Energies are from GGA-PBEsol.

- ΔE_f (raw) (eV/atom) = -0.456
- N(E_F) (states/eV per cell) = 4.0

Unit cell a=3.9325 b=3.9325 c=3.9325 alpha=90.00 beta=90.00 gamma=90.00
Closest atoms and distances in Å follow each position.
Space group Pm-3m (No. 221)
Unique sites:
Ca  0.0000  0.0000  0.0000 (multiplicity 1)  12 N 2.78
Ti  0.5000  0.5000  0.5000 (multiplicity 1)  6 N 1.97
N  0.0000  0.5000  0.5000 (multiplicity 3)  2 Ti 1.97

---

Here is an optimized crystal structure of Ca5Ti2N6 from the Alexandria database. Energies are from GGA-PBEsol.

- ΔE_f (raw) (eV/atom) = -1.283
- N(E_F) (states/eV per cell) = 0.0

Unit cell a=10.1984 b=6.4621 c=12.7533 alpha=90.00 beta=103.70 gamma=90.00
Closest atoms and distances in Å follow each position.
Space group C2/c (No. 15)
Unique sites:
Ca  0.0000  0.1632  0.2500 (multiplicity 4)  6 N 2.45-2.73
Ca  0.0270  0.2447  0.0070 (multiplicity 8)  3 N 2.36-2.52
Ca  0.1569  0.3482  0.7268 (multiplicity 8)  5 N 2.38-2.57
Ti  0.2257  0.4122  0.4318 (multiplicity 8)  4 N 1.89-1.94
N  0.0488  0.4898  0.8753 (multiplicity 8)  1 Ti 1.89
N  0.1419  0.0014  0.1423 (multiplicity 8)  1 Ti 1.91
N  0.2105  0.1166  0.4131 (multiplicity 8)  2 Ti 1.93-1.94

---

Here is an optimized crystal structure of CaTlN2 from the Alexandria database. Energies are from GGA-PBEsol.

- ΔE_f (raw) (eV/atom) = 0.279
- N(E_F) (states/eV per cell) = 13.2

Unit cell a=5.9662 b=5.9662 c=7.2094 alpha=90.00 beta=90.00 gamma=90.00
Closest atoms and distances in Å follow each position.
Space group I-42d (No. 122)
Unique sites:
Ca  0.0000  0.0000  0.0000 (multiplicity 4)  4 N 2.39
Tl  0.0000  0.0000  0.5000 (multiplicity 4)  4 N 2.20
N  0.2260  0.7500  0.6250 (multiplicity 8)  2 Tl 2.20, 2 Ca 2.39

---

Here is an optimized crystal structure of Ca7V3N9 from the Alexandria database. Energies are from GGA-PBEsol.

- ΔE_f (raw) (eV/atom) = -1.257
- N(E_F) (states/eV per cell) = 3.2

Unit cell a=6.0011 b=9.8614 c=8.9173 alpha=90.00 beta=91.62 gamma=90.00
Closest atoms and distances in Å follow each position.
Space group P2_1/m (No. 11)
Unique sites:
Ca  0.0679  0.0838  0.1706 (multiplicity 4)  5 N 2.43-2.58
Ca  0.0869  0.7500  0.2055 (multiplicity 2)  5 N 2.30-2.48
Ca  0.2460  0.5819  0.5115 (multiplicity 4)  4 N 2.31-2.57
Ca  0.4226  0.0675  0.8369 (multiplicity 4)  4 N 2.41-2.59
V  0.2817  0.2500  0.5690 (multiplicity 2)  3 N 1.76-1.87
V  0.3269  0.7500  0.9368 (multiplicity 2)  4 N 1.81-1.92
V  0.4521  0.2500  0.2814 (multiplicity 2)  4 N 1.76-1.96
N  0.1250  0.1064  0.6535 (multiplicity 4)  1 V 1.87
N  0.2259  0.7500  0.7312 (multiplicity 2)  2 V 1.91-1.94
N  0.2311  0.5951  0.0223 (multiplicity 4)  1 V 1.81
N  0.3539  0.2500  0.0705 (multiplicity 2)  2 V 1.92-1.96
N  0.3632  0.1050  0.3785 (multiplicity 4)  1 V 1.76
N  0.4574  0.7500  0.3357 (multiplicity 2)  1 V 1.76